(1)
Density functional theory data (PBE) for a relaxed BaTl2Ga2 crystal.

Unit cell a=5.0124 b=5.0124 c=6.8303 alpha=68.47 beta=68.47 gamma=90.00
Fractional coordinates of all 5 atoms:
1 Tl 0.3710 0.3710 0.2579
2 Tl 0.6290 0.6290 0.7421
3 Ba 0.0000 0.0000 0.0000
4 Ga 0.7500 0.2500 0.5000
5 Ga 0.2500 0.7500 0.5000

Properties
The total magnetic moment is 0.0 μB/f.u. The calculation puts the excess energy over the best structure of this formula in the dataset at 57 meV/atom. As for the formation energy: -242 meV/atom. The calculation puts the total energy at -13.92 eV/cell.

---

(2)
Density functional theory data (PBE) for a relaxed NdErHfN3 crystal.

Unit cell a=3.2958 b=6.4513 c=9.5434 alpha=94.03 beta=90.00 gamma=90.00
Last column: magnetic moment on the atom in μB.
Fractional coordinates of all 12 atoms:
1 Nd 0.7500 0.8383 0.7854  -0.02
2 Nd 0.2500 0.1617 0.2146  -0.02
3 Er 0.2500 0.2030 0.5750  -0.17
4 Er 0.7500 0.7970 0.4250  -0.17
5 Hf 0.2500 0.6507 0.1069  -0.08
6 Hf 0.7500 0.3493 0.8931  -0.08
7 N 0.2500 0.8457 0.5795  0.00
8 N 0.7500 0.8555 0.1644  0.00
9 N 0.7500 0.4018 0.1092  0.00
10 N 0.7500 0.1543 0.4205  0.00
11 N 0.2500 0.5982 0.8908  0.00
12 N 0.2500 0.1445 0.8356  0.00

Properties
The total magnetic moment is 0.5 μB/f.u. The calculation puts the total energy at -105.20 eV/cell. The calculation puts the uncorrected formation energy at -1.390 eV per atom.

---

(3)
Density functional theory data (PBE) for a relaxed ZrBeCr2 crystal.

Unit cell a=3.9176 b=3.9176 c=4.8359 alpha=66.08 beta=66.08 gamma=60.01
Fractional coordinates of all 4 atoms:
1 Cr 0.9944 0.9944 0.0172
2 Cr 0.7118 0.7118 0.8646
3 Zr 0.4995 0.4995 0.5018
4 Be 0.2944 0.2944 0.1165

Properties
The total magnetic moment is 0.0 μB/f.u. As for the formation energy: 142 meV/atom. The calculation puts the total energy at -30.95 eV/cell.

---

What is the total magnetic moment in the second record?
0.5 μB/f.u.